Density functional theory data (GGA+U) for crystalline FeW3F at its relaxed geometry.

The structure in POSCAR format:
```
FeW3F
1.0
4.2861 0.0000 0.0000
0.0000 4.2861 0.0000
0.0000 0.0000 4.2861
Fe W F
1 3 1
direct
0.0000 0.0000 0.0000
0.0000 0.5000 0.5000
0.5000 0.0000 0.5000
0.5000 0.5000 0.0000
0.5000 0.5000 0.5000
```

Calculated values
Raw total energy, Ha/atom: -0.1570
Density of states at the Fermi level, states/eV/f.u.: 4.74

---

Density functional theory data (GGA+U) for crystalline Fe3WF9 at its relaxed geometry.

The structure in POSCAR format:
```
Fe3WF9
1.0
5.3274 -3.8900 0.0000
5.3274 3.8900 0.0000
-4.7666 0.0000 9.7612
Fe W F
6 2 18
direct
0.0548 0.6164 0.9215
0.1375 0.8625 0.5000
0.4253 0.9055 0.8955
0.6164 0.0548 0.4215
0.8625 0.1375 0.0000
0.9055 0.4253 0.3955
0.3049 0.4069 0.1844
0.4069 0.3049 0.6844
0.0101 0.3825 0.0105
0.1200 0.3899 0.7579
0.1220 0.6320 0.3190
0.1229 0.9156 0.9244
0.2013 0.4646 0.5316
0.2627 0.9151 0.6991
0.2702 0.6718 0.1105
0.3825 0.0101 0.5105
0.3899 0.1200 0.2579
0.4646 0.2013 0.0316
0.4726 0.5790 0.8523
0.5790 0.4726 0.3523
0.6320 0.1220 0.8190
0.6718 0.2702 0.6105
0.7750 0.8403 0.9658
0.8403 0.7750 0.4658
0.9151 0.2627 0.1991
0.9156 0.1229 0.4244
```

Calculated values
Raw total energy, Ha/atom: -0.1934
Density of states at the Fermi level, states/eV/f.u.: 0.00

---

Density functional theory data (GGA+U) for crystalline FeWF2 at its relaxed geometry.

The structure in POSCAR format:
```
FeWF2
1.0
1.4101 0.8141 8.5493
-1.4101 0.8141 8.5493
0.0000 -1.6282 8.5493
Fe W F
1 1 2
direct
0.0000 0.0000 0.0000
0.5000 0.5000 0.5000
0.1039 0.1039 0.1039
0.8961 0.8961 0.8961
```

Calculated values
Raw total energy, Ha/atom: -0.1646
Density of states at the Fermi level, states/eV/f.u.: 1.51

---

Density functional theory data (GGA+U) for crystalline Fe2WF at its relaxed geometry.

The structure in POSCAR format:
```
Fe2WF
1.0
0.0000 3.1988 3.1988
3.1988 0.0000 3.1988
3.1988 3.1988 0.0000
Fe W F
2 1 1
direct
0.2500 0.2500 0.2500
0.7500 0.7500 0.7500
0.0000 0.0000 0.0000
0.5000 0.5000 0.5000
```

Calculated values
Raw total energy, Ha/atom: -0.1532
Density of states at the Fermi level, states/eV/f.u.: 2.03

---

Density functional theory data (GGA+U) for crystalline FeWF2 at its relaxed geometry.

The structure in POSCAR format:
```
FeWF2
1.0
0.0000 3.0231 3.0231
3.0231 0.0000 3.0231
3.0231 3.0231 0.0000
Fe W F
1 1 2
direct
0.0000 0.0000 0.0000
0.5000 0.5000 0.5000
0.2500 0.2500 0.2500
0.7500 0.7500 0.7500
```

Calculated values
Raw total energy, Ha/atom: -0.1450
Density of states at the Fermi level, states/eV/f.u.: 5.33

---

Density functional theory data (GGA+U) for crystalline Fe3WF at its relaxed geometry.

The structure in POSCAR format:
```
Fe3WF
1.0
4.2870 0.0000 0.0000
0.0000 4.2870 0.0000
0.0000 0.0000 4.2870
Fe W F
3 1 1
direct
0.0000 0.0000 0.5000
0.0000 0.5000 0.0000
0.5000 0.0000 0.0000
0.5000 0.5000 0.5000
0.0000 0.0000 0.0000
```

Calculated values
Raw total energy, Ha/atom: -0.1686
Density of states at the Fermi level, states/eV/f.u.: 2.86

---

Density functional theory data (GGA+U) for crystalline FeWF3 at its relaxed geometry.

The structure in POSCAR format:
```
FeWF3
1.0
4.0606 0.0000 0.0000
0.0000 4.0606 0.0000
0.0000 0.0000 4.0606
Fe W F
1 1 3
direct
0.0000 0.0000 0.0000
0.5000 0.5000 0.5000
0.0000 0.0000 0.5000
0.0000 0.5000 0.0000
0.5000 0.0000 0.0000
```

Calculated values
Raw total energy, Ha/atom: -0.1587
Density of states at the Fermi level, states/eV/f.u.: 1.72

---

Density functional theory data (GGA+U) for crystalline FeW2F at its relaxed geometry.

The structure in POSCAR format:
```
FeW2F
1.0
-3.3108 3.3108 2.7641
3.3108 -3.3108 2.7641
3.3108 3.3108 -2.7641
Fe W F
2 4 2
direct
0.0000 0.0000 0.0000
0.7500 0.2500 0.5000
0.1630 0.6250 0.0380
0.3750 0.4130 0.5380
0.5870 0.1250 0.9620
0.8750 0.8370 0.4620
0.2500 0.7500 0.5000
0.5000 0.5000 0.0000
```

Calculated values
Raw total energy, Ha/atom: -0.1612
Density of states at the Fermi level, states/eV/f.u.: 2.36

---

Density functional theory data (GGA+U) for crystalline Fe2WF at its relaxed geometry.

The structure in POSCAR format:
```
Fe2WF
1.0
-3.3869 3.3869 2.8878
3.3869 -3.3869 2.8878
3.3869 3.3869 -2.8878
Fe W F
4 2 2
direct
0.0587 0.6250 0.9337
0.3750 0.3087 0.4337
0.6913 0.1250 0.0663
0.8750 0.9413 0.5663
0.2500 0.7500 0.5000
0.5000 0.5000 0.0000
0.0000 0.0000 0.0000
0.7500 0.2500 0.5000
```

Calculated values
Raw total energy, Ha/atom: -0.1740
Density of states at the Fermi level, states/eV/f.u.: 0.81

---

Density functional theory data (GGA+U) for crystalline Fe3WF at its relaxed geometry.

The structure in POSCAR format:
```
Fe3WF
1.0
4.9503 0.0000 0.0000
0.0000 4.9503 0.0000
0.0000 0.0000 4.9503
Fe W F
3 1 1
direct
0.0000 0.0000 0.5000
0.0000 0.5000 0.0000
0.5000 0.0000 0.0000
0.0000 0.0000 0.0000
0.5000 0.5000 0.5000
```

Calculated values
Raw total energy, Ha/atom: -0.1303
Density of states at the Fermi level, states/eV/f.u.: 1.65

---

Density functional theory data (GGA+U) for crystalline FeWF3 at its relaxed geometry.

The structure in POSCAR format:
```
FeWF3
1.0
4.3169 0.0000 0.0000
0.0000 4.3169 0.0000
0.0000 0.0000 4.3169
Fe W F
1 1 3
direct
0.0000 0.0000 0.0000
0.5000 0.5000 0.5000
0.0000 0.5000 0.5000
0.5000 0.0000 0.5000
0.5000 0.5000 0.0000
```

Calculated values
Raw total energy, Ha/atom: -0.1818
Density of states at the Fermi level, states/eV/f.u.: 1.20

---

Density functional theory data (GGA+U) for crystalline FeWF2 at its relaxed geometry.

The structure in POSCAR format:
```
FeWF2
1.0
1.4046 0.8110 7.5587
-1.4046 0.8110 7.5587
0.0000 -1.6219 7.5587
Fe W F
1 1 2
direct
0.0000 0.0000 0.0000
0.5000 0.5000 0.5000
0.4054 0.4054 0.4054
0.5946 0.5946 0.5946
```

Calculated values
Raw total energy, Ha/atom: -0.1748
Density of states at the Fermi level, states/eV/f.u.: 2.28

---

Density functional theory data (GGA+U) for crystalline YFeF2 at its relaxed geometry.

The structure in POSCAR format:
```
YFeF2
1.0
-2.1956 2.1956 7.4950
2.1956 -2.1956 7.4950
2.1956 2.1956 -7.4950
Y Fe F
2 2 4
direct
0.0000 0.0000 0.0000
0.7500 0.2500 0.5000
0.2500 0.7500 0.5000
0.5000 0.5000 0.0000
0.0419 0.6250 0.9169
0.3750 0.2919 0.4169
0.7081 0.1250 0.0831
0.8750 0.9581 0.5831
```

Calculated values
Raw total energy, Ha/atom: -0.2108
Density of states at the Fermi level, states/eV/f.u.: 1.07

---

Density functional theory data (GGA+U) for crystalline YFeF2 at its relaxed geometry.

The structure in POSCAR format:
```
YFeF2
1.0
1.5580 0.8995 7.7604
-1.5580 0.8995 7.7604
0.0000 -1.7990 7.7604
Y Fe F
1 1 2
direct
0.0000 0.0000 0.0000
0.5000 0.5000 0.5000
0.4029 0.4029 0.4029
0.5971 0.5971 0.5971
```

Calculated values
Raw total energy, Ha/atom: -0.2065
Density of states at the Fermi level, states/eV/f.u.: 2.28

---

Density functional theory data (GGA+U) for crystalline YFe2F11 at its relaxed geometry.

The structure in POSCAR format:
```
YFe2F11
1.0
-4.3300 4.3300 5.1114
4.3300 -4.3300 5.1114
4.3300 4.3300 -5.1114
Y Fe F
2 4 22
direct
0.2500 0.2500 0.0000
0.7500 0.7500 0.0000
0.1701 0.6701 0.8402
0.3299 0.1701 0.5000
0.6701 0.8299 0.5000
0.8299 0.3299 0.1598
0.0000 0.5000 0.5000
0.0697 0.3503 0.1544
0.0847 0.9303 0.2807
0.1497 0.4303 0.8456
0.1829 0.3171 0.5000
0.1960 0.9153 0.8456
0.3040 0.1497 0.7193
0.3171 0.8171 0.1343
0.3503 0.1960 0.2807
0.4153 0.6960 0.8456
0.4303 0.5847 0.2807
0.5000 0.0000 0.5000
0.5697 0.4153 0.7193
0.5847 0.3040 0.1544
0.6497 0.8040 0.7193
0.6829 0.1829 0.8657
0.6960 0.8503 0.2807
0.8040 0.0847 0.1544
0.8171 0.6829 0.5000
0.8503 0.5697 0.1544
0.9153 0.0697 0.7193
0.9303 0.6497 0.8456
```

Calculated values
Raw total energy, Ha/atom: -0.1910
Density of states at the Fermi level, states/eV/f.u.: 6.85

---

Density functional theory data (GGA+U) for crystalline YFe2F at its relaxed geometry.

The structure in POSCAR format:
```
YFe2F
1.0
0.0000 3.3891 3.3891
3.3891 0.0000 3.3891
3.3891 3.3891 0.0000
Y Fe F
1 2 1
direct
0.0000 0.0000 0.0000
0.2500 0.2500 0.2500
0.7500 0.7500 0.7500
0.5000 0.5000 0.5000
```

Calculated values
Raw total energy, Ha/atom: -0.1650
Density of states at the Fermi level, states/eV/f.u.: 1.50

---

Density functional theory data (GGA+U) for crystalline Y2FeF at its relaxed geometry.

The structure in POSCAR format:
```
Y2FeF
1.0
0.0000 3.4851 3.4851
3.4851 0.0000 3.4851
3.4851 3.4851 0.0000
Y Fe F
2 1 1
direct
0.2500 0.2500 0.2500
0.7500 0.7500 0.7500
0.0000 0.0000 0.0000
0.5000 0.5000 0.5000
```

Calculated values
Raw total energy, Ha/atom: -0.1973
Density of states at the Fermi level, states/eV/f.u.: 4.82

---

Density functional theory data (GGA+U) for crystalline YFeF3 at its relaxed geometry.

The structure in POSCAR format:
```
YFeF3
1.0
4.1898 0.0000 0.0000
0.0000 4.1898 0.0000
0.0000 0.0000 4.1898
Y Fe F
1 1 3
direct
0.0000 0.0000 0.0000
0.5000 0.5000 0.5000
0.0000 0.5000 0.5000
0.5000 0.0000 0.5000
0.5000 0.5000 0.0000
```

Calculated values
Raw total energy, Ha/atom: -0.1932
Density of states at the Fermi level, states/eV/f.u.: 10.15

---

Density functional theory data (GGA+U) for crystalline YFe2F at its relaxed geometry.

The structure in POSCAR format:
```
YFe2F
1.0
-2.4610 2.4610 6.8011
2.4610 -2.4610 6.8011
2.4610 2.4610 -6.8011
Y Fe F
2 4 2
direct
0.0000 0.0000 0.0000
0.7500 0.2500 0.5000
0.3732 0.1250 0.7482
0.3750 0.6268 0.7518
0.3768 0.6250 0.2518
0.8750 0.6232 0.2482
0.2500 0.7500 0.5000
0.5000 0.5000 0.0000
```

Calculated values
Raw total energy, Ha/atom: -0.1543
Density of states at the Fermi level, states/eV/f.u.: 2.27

---

Density functional theory data (GGA+U) for crystalline YFeF2 at its relaxed geometry.

The structure in POSCAR format:
```
YFeF2
1.0
0.0000 3.0968 3.0968
3.0968 0.0000 3.0968
3.0968 3.0968 0.0000
Y Fe F
1 1 2
direct
0.0000 0.0000 0.0000
0.5000 0.5000 0.5000
0.2500 0.2500 0.2500
0.7500 0.7500 0.7500
```

Calculated values
Raw total energy, Ha/atom: -0.2042
Density of states at the Fermi level, states/eV/f.u.: 0.16